Cu3SnF8 | GGA-PBE | relaxed

Properties
For the energy relative to the elements, uncorrected, the calculation gives -1.701 eV/atom. Its raw total energy is -4.31 eV per atom.

Cell: 5.4870 10.0674 6.5094 Å, 90.00 90.00 90.00°
Space group C222 (No. 21)
Symmetry-distinct sites (fractional):
Cu (0.0000, 0.0000, 0.0000) (multiplicity 2)
Cu (0.2500, 0.2500, 0.7786) (multiplicity 4)
Sn (0.0000, 0.0000, 0.5000) (multiplicity 2)
F (0.0000, 0.1951, 0.0000) (multiplicity 4)
F (0.0000, 0.2023, 0.5000) (multiplicity 4)
F (0.2492, 0.4808, 0.7217) (multiplicity 8)